Run a
TiVH2 | PBE | relaxed

```
data_TiVH2
_space_group_name_H-M_alt 'F m -3 m'
_space_group_IT_number 225
_space_group_name_Hall '-F 4 2 3'
_cell_length_a 5.1626
_cell_length_b 5.1626
_cell_length_c 5.1626
_cell_angle_alpha 90.00
_cell_angle_beta 90.00
_cell_angle_gamma 90.00
loop_
_atom_site_label
_atom_site_type_symbol
_atom_site_fract_x
_atom_site_fract_y
_atom_site_fract_z
Ti1 Ti 0.0000 0.0000 0.0000
V1 V 0.0000 0.0000 0.5000
H1 H 0.2500 0.2500 0.2500
```

## Properties
For the magnetization, the calculation gives 0.00 Bohr magnetons per cell. Its mass density is 4.87 g/cm3. As for the volume: 138 Å³ per cell.

=====

Run b
TiVH2 | PBE | relaxed

```
data_TiVH2
_space_group_name_H-M_alt 'R -3 m'
_space_group_IT_number 166
_space_group_name_Hall '-R 3 2"'
_cell_length_a 2.9000
_cell_length_b 2.9000
_cell_length_c 13.7721
_cell_angle_alpha 90.00
_cell_angle_beta 90.00
_cell_angle_gamma 120.00
loop_
_atom_site_label
_atom_site_type_symbol
_atom_site_fract_x
_atom_site_fract_y
_atom_site_fract_z
Ti1 Ti 0.0000 0.0000 0.0000
V1 V 0.0000 0.0000 0.5000
H1 H 0.0000 0.0000 0.2420
```

## Properties
For the magnetization, the calculation gives 0.00 Bohr magnetons per cell. Its mass density is 5.01 g/cm3. As for the volume: 100 Å³ per cell.

=====

Run c
TiVH2 | PBE | relaxed

```
data_TiVH2
_space_group_name_H-M_alt 'I -4 2 d'
_space_group_IT_number 122
_space_group_name_Hall 'I -4 2bw'
_cell_length_a 4.6106
_cell_length_b 4.6106
_cell_length_c 6.5749
_cell_angle_alpha 90.00
_cell_angle_beta 90.00
_cell_angle_gamma 90.00
loop_
_atom_site_label
_atom_site_type_symbol
_atom_site_fract_x
_atom_site_fract_y
_atom_site_fract_z
Ti1 Ti 0.0000 0.0000 0.0000
V1 V 0.0000 0.0000 0.5000
H1 H 0.2334 0.2500 0.6250
```

## Properties
For the magnetization, the calculation gives 0.00 Bohr magnetons per cell. Its mass density is 4.79 g/cm3. As for the volume: 140 Å³ per cell.

=====

Top of the stability list: run c, leading by 3.5 kJ/mol of atoms.

=====

Run a
TiVH2 | PBE | relaxed

```
data_TiVH2
_space_group_name_H-M_alt 'P 1 21/m 1'
_space_group_IT_number 11
_cell_length_a 2.8598
_cell_length_b 4.4074
_cell_length_c 5.7647
_cell_angle_alpha 90.00
_cell_angle_beta 104.04
_cell_angle_gamma 90.00
loop_
_space_group_symop_operation_xyz
'x,y,z'
'-x,-y,-z'
'-x,y+1/2,-z'
'x,-y+1/2,z'
loop_
_atom_site_label
_atom_site_type_symbol
_atom_site_fract_x
_atom_site_fract_y
_atom_site_fract_z
Ti1 Ti 0.1898 0.2500 0.3516
V1 V 0.2960 0.2500 0.8993
H1 H 0.3068 0.0219 0.6427
```

## Properties
For the magnetization, the calculation gives 0.00 Bohr magnetons per cell. Its mass density is 4.75 g/cm3. As for the volume: 70 Å³ per cell.

=====

Run b
TiVH2 | PBE | relaxed

```
data_TiVH2
_space_group_name_H-M_alt 'R 3 m'
_space_group_IT_number 160
_space_group_name_Hall 'R 3 -2"'
_cell_length_a 2.7705
_cell_length_b 2.7705
_cell_length_c 15.3187
_cell_angle_alpha 90.00
_cell_angle_beta 90.00
_cell_angle_gamma 120.00
loop_
_atom_site_label
_atom_site_type_symbol
_atom_site_fract_x
_atom_site_fract_y
_atom_site_fract_z
Ti1 Ti 0.0000 0.0000 0.0000
V1 V 0.0000 0.0000 0.1708
H1 H 0.0000 0.0000 0.4257
H2 H 0.0000 0.0000 0.5809
```

## Properties
For the magnetization, the calculation gives 0.00 Bohr magnetons per cell. Its mass density is 4.93 g/cm3. As for the volume: 102 Å³ per cell.

=====

Top of the stability list: run a, leading by 17.4 kJ/mol of atoms.

=====

Run a
TiV3H | PBE | relaxed

```
data_TiV3H
_space_group_name_H-M_alt 'P 1 21 1'
_space_group_IT_number 4
_cell_length_a 5.1749
_cell_length_b 4.3810
_cell_length_c 5.3863
_cell_angle_alpha 90.00
_cell_angle_beta 101.83
_cell_angle_gamma 90.00
loop_
_space_group_symop_operation_xyz
'x,y,z'
'-x,y+1/2,-z'
loop_
_atom_site_label
_atom_site_type_symbol
_atom_site_fract_x
_atom_site_fract_y
_atom_site_fract_z
Ti1 Ti 0.1254 0.0000 0.1795
V1 V 0.1103 0.9972 0.6809
V2 V 0.3500 0.5025 0.5670
V3 V 0.3903 0.4994 0.0515
H1 H 0.4275 0.1071 0.6307
```

## Properties
For the magnetization, the calculation gives 0.00 Bohr magnetons per cell. Its mass density is 5.60 g/cm3. As for the volume: 120 Å³ per cell.

=====

Run b
TiV3H | PBE | relaxed

```
data_TiV3H
_space_group_name_H-M_alt 'P m -3 m'
_space_group_IT_number 221
_space_group_name_Hall '-P 4 2 3'
_cell_length_a 3.9214
_cell_length_b 3.9214
_cell_length_c 3.9214
_cell_angle_alpha 90.00
_cell_angle_beta 90.00
_cell_angle_gamma 90.00
loop_
_atom_site_label
_atom_site_type_symbol
_atom_site_fract_x
_atom_site_fract_y
_atom_site_fract_z
Ti1 Ti 0.0000 0.0000 0.0000
V1 V 0.0000 0.5000 0.5000
H1 H 0.5000 0.5000 0.5000
```

## Properties
For the magnetization, the calculation gives 0.00 Bohr magnetons per cell. Its mass density is 5.55 g/cm3. As for the volume: 60 Å³ per cell.

=====

Top of the stability list: run a, leading by 12.6 kJ/mol of atoms.

=====

Run a
Zr2TiVH | PBE | relaxed

```
data_Zr2TiVH
_space_group_name_H-M_alt 'P 4/m m m'
_space_group_IT_number 123
_space_group_name_Hall '-P 4 2'
_cell_length_a 4.6468
_cell_length_b 4.6468
_cell_length_c 3.7247
_cell_angle_alpha 90.00
_cell_angle_beta 90.00
_cell_angle_gamma 90.00
loop_
_atom_site_label
_atom_site_type_symbol
_atom_site_fract_x
_atom_site_fract_y
_atom_site_fract_z
Zr1 Zr 0.0000 0.5000 0.0000
Ti1 Ti 0.0000 0.0000 0.5000
V1 V 0.5000 0.5000 0.5000
H1 H 0.0000 0.0000 0.0000
```

## Properties
For the magnetization, the calculation gives 1.30 Bohr magnetons per cell. Its mass density is 5.83 g/cm3. As for the volume: 80 Å³ per cell.

=====

Run b
Zr2TiVH | PBE | relaxed

```
data_Zr2TiVH
_space_group_name_H-M_alt 'P 4/m m m'
_space_group_IT_number 123
_space_group_name_Hall '-P 4 2'
_cell_length_a 4.6964
_cell_length_b 4.6964
_cell_length_c 3.6078
_cell_angle_alpha 90.00
_cell_angle_beta 90.00
_cell_angle_gamma 90.00
loop_
_atom_site_label
_atom_site_type_symbol
_atom_site_fract_x
_atom_site_fract_y
_atom_site_fract_z
Zr1 Zr 0.0000 0.5000 0.0000
Ti1 Ti 0.0000 0.0000 0.5000
V1 V 0.5000 0.5000 0.5000
H1 H 0.5000 0.5000 0.0000
```

## Properties
For the magnetization, the calculation gives 0.12 Bohr magnetons per cell. Its mass density is 5.89 g/cm3. As for the volume: 80 Å³ per cell.

=====

Top of the stability list: run b, leading by 0.8 kJ/mol of atoms.

=====

Run a
TiHW2 | PBE | relaxed

```
data_TiHW2
_space_group_name_H-M_alt 'I 41/a m d'
_space_group_IT_number 141
_cell_length_a 5.4996
_cell_length_b 5.4996
_cell_length_c 7.7538
_cell_angle_alpha 90.00
_cell_angle_beta 90.00
_cell_angle_gamma 90.00
loop_
_space_group_symop_operation_xyz
'x,y,z'
'-x,-y,-z'
'-y+1/4,x+3/4,z+1/4'
'y+1/4,-x+3/4,-z+1/4'
'-x+1/2,-y,z+1/2'
'x+1/2,y,-z+1/2'
'y+1/4,-x+1/4,z+3/4'
'-y+1/4,x+1/4,-z+3/4'
'x,-y,-z'
'-x,y,z'
'-y+1/4,-x+1/4,-z+3/4'
'y+1/4,x+1/4,z+3/4'
'-x+1/2,y,-z+1/2'
'x+1/2,-y,z+1/2'
'y+1/4,x+3/4,-z+1/4'
'-y+1/4,-x+3/4,z+1/4'
'x+1/2,y+1/2,z+1/2'
'-x+1/2,-y+1/2,-z+1/2'
'-y+3/4,x+1/4,z+3/4'
'y+3/4,-x+1/4,-z+3/4'
'-x,-y+1/2,z'
'x,y+1/2,-z'
'y+3/4,-x+3/4,z+1/4'
'-y+3/4,x+3/4,-z+1/4'
'x+1/2,-y+1/2,-z+1/2'
'-x+1/2,y+1/2,z+1/2'
'-y+3/4,-x+3/4,-z+1/4'
'y+3/4,x+3/4,z+1/4'
'-x,y+1/2,-z'
'x,-y+1/2,z'
'y+3/4,x+1/4,-z+3/4'
'-y+3/4,-x+1/4,z+3/4'
loop_
_atom_site_label
_atom_site_type_symbol
_atom_site_fract_x
_atom_site_fract_y
_atom_site_fract_z
Ti1 Ti 0.0000 0.2500 0.3750
H1 H 0.0000 0.2500 0.8750
W1 W 0.0000 0.0000 0.0000
```

## Properties
For the magnetization, the calculation gives 0.00 Bohr magnetons per cell. Its mass density is 11.80 g/cm3. As for the volume: 235 Å³ per cell.

=====

Run b
TiHW2 | PBE | relaxed

```
data_TiHW2
_space_group_name_H-M_alt 'F m -3 m'
_space_group_IT_number 225
_space_group_name_Hall '-F 4 2 3'
_cell_length_a 6.0584
_cell_length_b 6.0584
_cell_length_c 6.0584
_cell_angle_alpha 90.00
_cell_angle_beta 90.00
_cell_angle_gamma 90.00
loop_
_atom_site_label
_atom_site_type_symbol
_atom_site_fract_x
_atom_site_fract_y
_atom_site_fract_z
Ti1 Ti 0.0000 0.0000 0.0000
H1 H 0.0000 0.0000 0.5000
W1 W 0.2500 0.2500 0.2500
```

## Properties
For the magnetization, the calculation gives 0.00 Bohr magnetons per cell. Its mass density is 12.44 g/cm3. As for the volume: 222 Å³ per cell.

=====

Top of the stability list: run a, leading by 64.3 kJ/mol of atoms.

=====

Run a
TiHW3 | PBE | relaxed

```
data_TiHW3
_space_group_name_H-M_alt 'P m -3 m'
_space_group_IT_number 221
_space_group_name_Hall '-P 4 2 3'
_cell_length_a 4.5785
_cell_length_b 4.5785
_cell_length_c 4.5785
_cell_angle_alpha 90.00
_cell_angle_beta 90.00
_cell_angle_gamma 90.00
loop_
_atom_site_label
_atom_site_type_symbol
_atom_site_fract_x
_atom_site_fract_y
_atom_site_fract_z
Ti1 Ti 0.0000 0.0000 0.0000
H1 H 0.5000 0.5000 0.5000
W1 W 0.0000 0.0000 0.5000
```

## Properties
For the magnetization, the calculation gives 0.00 Bohr magnetons per cell. Its mass density is 10.39 g/cm3. As for the volume: 96 Å³ per cell.

=====

Run b
TiHW3 | PBE | relaxed

```
data_TiHW3
_space_group_name_H-M_alt 'P m -3 m'
_space_group_IT_number 221
_space_group_name_Hall '-P 4 2 3'
_cell_length_a 4.0808
_cell_length_b 4.0808
_cell_length_c 4.0808
_cell_angle_alpha 90.00
_cell_angle_beta 90.00
_cell_angle_gamma 90.00
loop_
_atom_site_label
_atom_site_type_symbol
_atom_site_fract_x
_atom_site_fract_y
_atom_site_fract_z
Ti1 Ti 0.0000 0.0000 0.0000
H1 H 0.5000 0.5000 0.5000
W1 W 0.0000 0.5000 0.5000
```

## Properties
For the magnetization, the calculation gives 0.00 Bohr magnetons per cell. Its mass density is 14.67 g/cm3. As for the volume: 68 Å³ per cell.

=====

Top of the stability list: run b, leading by 233.1 kJ/mol of atoms.